7
Lattice="7.162 -2.547 0.000 7.162 2.547 0.000 -5.138 0.000 7.613" Properties=species:S:1:pos:R:3 comment="Cs2Tl2Cd3 (PBE, optimized geometry)" dft_energy_ry_per_atom=-0.099 sg="C2/m, No. 12" pbc="T T T"
Cs 0.538 0.000 1.959
Cs 8.650 0.000 5.653
Tl -1.594 0.000 5.325
Tl 10.782 0.000 2.287
Cd 4.541 0.000 0.643
Cd 4.594 0.000 3.806
Cd 4.646 0.000 6.970